w) ## Na2In3Hg8 (PBE)

Data for an optimized crystal structure of Na2In3Hg8.

Calculated values
SG	C2/m, No. 12
density of states at the Fermi level	4.5	states/eV per cell

Lattice parameters (Å, degrees): 5.3655 10.8305 8.2380 131.10 77.28 90.00
With the nearest neighbours (Å) after each atom.
Positions (direct):
1 Na 0.3484 0.2981 0.5961  9 Hg 3.01-3.29
2 Na 0.6516 0.7019 0.4039  9 Hg 3.01-3.29
3 In 0.5000 0.0000 0.0000  8 Hg 3.12-3.38
4 In 0.0000 0.2458 0.0000  8 Hg 3.15-3.42
5 In 0.0000 0.7542 0.0000  8 Hg 3.15-3.42
6 Hg 0.2199 0.5712 0.1423  3 Na 3.01-3.26, 5 Hg 3.01-3.34, 2 In 3.22
7 Hg 0.7801 0.4288 0.8577  3 Na 3.01-3.26, 5 Hg 3.01-3.34, 2 In 3.22
8 Hg 0.9245 0.1546 0.3092  2 Na 3.08-3.27, 4 In 3.12-3.38, 1 Hg 3.26
9 Hg 0.0755 0.8454 0.6908  2 Na 3.08-3.27, 4 In 3.12-3.38, 1 Hg 3.26
10 Hg 0.6395 0.5956 0.6810  2 Hg 3.04-3.14, 2 In 3.15-3.26, 2 Na 3.15-3.29
11 Hg 0.6395 0.0854 0.6810  2 Hg 3.04-3.14, 2 In 3.15-3.26, 2 Na 3.15-3.29
12 Hg 0.3605 0.9146 0.3190  2 Hg 3.04-3.14, 2 In 3.15-3.26, 2 Na 3.15-3.29
13 Hg 0.3605 0.4044 0.3190  2 Hg 3.04-3.14, 2 In 3.15-3.26, 2 Na 3.15-3.29


x) ## Na2In3Hg8 (PBE)

Data for an optimized crystal structure of Na2In3Hg8.

Calculated values
SG	P2/m, No. 10
density of states at the Fermi level	3.2	states/eV per cell

Lattice parameters (Å, degrees): 3.6614 10.3603 10.6959 116.59 90.00 90.00
With the nearest neighbours (Å) after each atom.
Positions (direct):
1 Na 0.5000 0.3126 0.5328  7 Hg 3.09-3.32
2 Na 0.5000 0.6874 0.4672  7 Hg 3.09-3.32
3 In 0.5000 0.0000 0.0000  4 In 3.18, 6 Hg 3.22-3.53
4 In 0.0000 0.2299 0.9609  4 Hg 3.01-3.35, 2 In 3.18
5 In 0.0000 0.7701 0.0391  4 Hg 3.01-3.35, 2 In 3.18
6 Hg 0.0000 0.5735 0.1782  2 In 3.01-3.27, 2 Hg 3.21, 2 Na 3.32
7 Hg 0.0000 0.4265 0.8218  2 In 3.01-3.27, 2 Hg 3.21, 2 Na 3.32
8 Hg 0.0000 0.1253 0.2768  2 Na 3.14, 4 Hg 3.18-3.19, 3 In 3.22-3.41
9 Hg 0.0000 0.8747 0.7232  2 Na 3.14, 4 Hg 3.18-3.19, 3 In 3.22-3.41
10 Hg 0.5000 0.6352 0.7452  2 Na 3.09-3.25, 4 Hg 3.18-3.21, 2 In 3.35
11 Hg 0.5000 0.0916 0.6605  3 Hg 3.09-3.19, 1 Na 3.15, 2 In 3.41
12 Hg 0.5000 0.9084 0.3395  3 Hg 3.09-3.19, 1 Na 3.15, 2 In 3.41
13 Hg 0.5000 0.3648 0.2548  2 Na 3.09-3.25, 4 Hg 3.18-3.21, 2 In 3.35


Most stable: w). Least stable: x).


w) ## Na3In2Hg7 (PBE)

Data for an optimized crystal structure of Na3In2Hg7.

Calculated values
SG	P2/m, No. 10
density of states at the Fermi level	4.2	states/eV per cell

Lattice parameters (Å, degrees): 4.5489 4.8965 15.5122 101.13 90.00 90.00
With the nearest neighbours (Å) after each atom.
Positions (direct):
1 Na 0.5000 0.5000 0.0000  12 Hg 3.14-3.36
2 Na 0.0000 0.1903 0.3732  6 Hg 3.49-3.61, 4 In 3.63-3.82
3 Na 0.0000 0.8097 0.6268  6 Hg 3.49-3.61, 4 In 3.63-3.82
4 In 0.5000 0.6535 0.2648  5 Hg 2.85-3.03
5 In 0.5000 0.3465 0.7352  5 Hg 2.85-3.03
6 Hg 0.5000 0.7202 0.4515  1 In 2.85, 2 Hg 2.86
7 Hg 0.5000 0.2798 0.5485  1 In 2.85, 2 Hg 2.86
8 Hg 0.0000 0.5958 0.1418  2 In 2.95, 2 Na 3.14, 2 Hg 3.23-3.30
9 Hg 0.0000 0.0000 0.0000  8 Hg 3.22-3.30, 4 Na 3.34
10 Hg 0.0000 0.4042 0.8582  2 In 2.95, 2 Na 3.14, 2 Hg 3.23-3.30
11 Hg 0.5000 0.9107 0.8499  2 In 2.98-3.03, 4 Hg 3.22-3.30, 1 Na 3.34
12 Hg 0.5000 0.0893 0.1501  2 In 2.98-3.03, 4 Hg 3.22-3.30, 1 Na 3.34


x) ## Na3In2Hg7 (PBE)

Data for an optimized crystal structure of Na3In2Hg7.

Calculated values
SG	Cmmm, No. 65
density of states at the Fermi level	3.7	states/eV per cell

Lattice parameters (Å, degrees): 3.5595 5.2404 17.5743 98.57 90.00 90.00
With the nearest neighbours (Å) after each atom.
Positions (direct):
1 Na 0.5000 0.5000 0.0000  4 Hg 3.17
2 Na 0.5000 0.6899 0.3797  8 Hg 3.32-3.56, 4 In 3.53, 2 Na 3.56
3 Na 0.5000 0.3101 0.6203  8 Hg 3.32-3.56, 4 In 3.53, 2 Na 3.56
4 In 0.0000 0.8552 0.7103  5 Hg 2.94-3.16
5 In 0.0000 0.1448 0.2897  5 Hg 2.94-3.16
6 Hg 0.0000 0.3988 0.7976  2 In 3.03, 4 Hg 3.35
7 Hg 0.0000 0.7704 0.5409  1 In 2.94, 2 Hg 2.98
8 Hg 0.0000 0.0000 0.0000  4 Hg 3.00, 4 Na 3.17
9 Hg 0.0000 0.6012 0.2024  2 In 3.03, 4 Hg 3.35
10 Hg 0.5000 0.0696 0.1392  6 Hg 3.00-3.35, 2 In 3.16
11 Hg 0.5000 0.9304 0.8608  6 Hg 3.00-3.35, 2 In 3.16
12 Hg 0.0000 0.2296 0.4591  1 In 2.94, 2 Hg 2.98


Most stable: x). Least stable: w).